Computed, not measured: crystalline BeAl2V at its relaxed geometry at the PBE-GGA level of DFT.

Properties
Energy of formation from the pure elements = 0.43 eV per atom

Cell lengths 2.7210, 2.7210, 26.8481 Å; angles 90.00, 90.00, 120.00 degrees
Space group R-3m (No. 166, hexagonal axes)
Unique sites:
Be 0.0000 0.0000 0.0000 x3
Al 0.0000 0.0000 0.4052 x6
V 0.0000 0.0000 0.5000 x3


Computed, not measured: crystalline BeAl3V at its relaxed geometry at the PBE-GGA level of DFT.

Properties
Polymorph energy (0 for the lowest one) = 0.531 eV/atom
Energy of formation from the pure elements = 1.14 eV per atom

Cell lengths 4.7246, 4.7246, 4.7246 Å; angles 90.00, 90.00, 90.00 degrees
Space group Pm-3m (No. 221)
Unique sites:
Be 0.0000 0.0000 0.0000 x1
Al 0.0000 0.5000 0.5000 x3
V 0.5000 0.5000 0.5000 x1


Computed, not measured: crystalline BeAlV at its relaxed geometry at the PBE-GGA level of DFT.

Properties
Polymorph energy (0 for the lowest one) = 0.051 eV/atom
Energy of formation from the pure elements = -0.04 eV per atom

Cell lengths 3.5390, 8.4110, 4.9711 Å; angles 90.00, 90.00, 90.00 degrees
Space group Cmcm (No. 63)
Unique sites:
Be 0.0000 0.1089 0.2500 x4
Al 0.0000 0.5000 0.0000 x4
V 0.0000 0.2051 0.7500 x4


Computed, not measured: crystalline Be8AlV3 at its relaxed geometry at the PBE-GGA level of DFT.

Properties
Energy of formation from the pure elements = -0.17 eV per atom

Cell lengths 4.3730, 4.3730, 21.4945 Å; angles 90.00, 90.00, 120.00 degrees
Space group R3m (No. 160, hexagonal axes)
Unique sites:
Be 0.0000 0.0000 0.0000 x3
Be 0.0000 0.0000 0.4988 x3
Be 0.0008 0.5004 0.2521 x9
Be 0.1701 0.3402 0.0821 x9
Al 0.0000 0.0000 0.1885 x3
V 0.0000 0.0000 0.3147 x3
V 0.0000 0.0000 0.6876 x3
V 0.0000 0.0000 0.8103 x3


Computed, not measured: crystalline BeAl3V at its relaxed geometry at the PBE-GGA level of DFT.

Properties
Polymorph energy (0 for the lowest one) = 0.000 eV/atom
Energy of formation from the pure elements = 0.61 eV per atom

Cell lengths 4.3186, 4.3186, 4.3186 Å; angles 90.00, 90.00, 90.00 degrees
Space group Pm-3m (No. 221)
Unique sites:
Be 0.0000 0.0000 0.0000 x1
Al 0.0000 0.0000 0.5000 x3
V 0.5000 0.5000 0.5000 x1


Computed, not measured: crystalline Be2AlV at its relaxed geometry at the PBE-GGA level of DFT.

Properties
Energy of formation from the pure elements = -0.17 eV per atom

Cell lengths 3.6017, 3.6017, 3.4431 Å; angles 90.00, 90.00, 90.00 degrees
Space group P4/mmm (No. 123)
Unique sites:
Be 0.0000 0.5000 0.0000 x2
Al 0.0000 0.0000 0.5000 x1
V 0.5000 0.5000 0.5000 x1